Record 1
Compound: NaIn2SiI
Source: the Alexandria database
Functional: PBE
Structure: optimized geometry

```
data_NaIn2SiI
_chemical_formula_sum 'Na1 In2 Si1 I1'
_cell_length_a 5.8142
_cell_length_b 5.8142
_cell_length_c 5.2026
_cell_angle_alpha 90.00
_cell_angle_beta 90.00
_cell_angle_gamma 90.00
_space_group_name_H-M_alt 'P 1'
_space_group_IT_number 1
_space_group_name_Hall 'P 1'
loop_
_atom_site_label
_atom_site_type_symbol
_atom_site_fract_x
_atom_site_fract_y
_atom_site_fract_z
Na1 Na 0.0000 0.0000 0.0000
In1 In 0.0000 0.5000 0.0000
In2 In 0.5000 0.0000 0.0000
Si1 Si 0.0000 0.0000 0.5000
I1 I 0.5000 0.5000 0.5000
```

The value obtained for the formation energy from raw total energies is 0.6137 eV per atom. The electronic total energy is -2.1402 eV per atom. As for the space group: P4/mmm, No. 123. As for the magnetic moment: 0.000 μB/atom.

Record 2
Compound: Na2InSnI4
Source: the Alexandria database
Functional: PBE
Structure: optimized geometry

```
data_Na2InSnI4
_chemical_formula_sum 'Na4 In2 Sn2 I8'
_cell_length_a 6.8420
_cell_length_b 6.8420
_cell_length_c 13.1906
_cell_angle_alpha 90.00
_cell_angle_beta 90.00
_cell_angle_gamma 90.00
_space_group_name_H-M_alt 'P 1'
_space_group_IT_number 1
_space_group_name_Hall 'P 1'
loop_
_atom_site_label
_atom_site_type_symbol
_atom_site_fract_x
_atom_site_fract_y
_atom_site_fract_z
Na1 Na 0.0000 0.0000 0.0000
Na2 Na 0.0000 0.5000 0.2500
Na3 Na 0.5000 0.0000 0.7500
Na4 Na 0.5000 0.5000 0.5000
In1 In 0.0000 0.0000 0.5000
In2 In 0.5000 0.5000 0.0000
Sn1 Sn 0.0000 0.5000 0.7500
Sn2 Sn 0.5000 0.0000 0.2500
I1 I 0.0000 0.0000 0.2383
I2 I 0.0000 0.0000 0.7617
I3 I 0.0000 0.5000 0.0003
I4 I 0.0000 0.5000 0.4997
I5 I 0.5000 0.0000 0.9997
I6 I 0.5000 0.0000 0.5003
I7 I 0.5000 0.5000 0.2617
I8 I 0.5000 0.5000 0.7383
```

The value obtained for the formation energy from raw total energies is -0.6759 eV per atom. The electronic total energy is -2.6234 eV per atom. As for the space group: I-4m2, No. 119. As for the magnetic moment: 0.076 μB/atom.

Record 3
Compound: Na2In3SnI6
Source: the Alexandria database
Functional: PBE
Structure: optimized geometry

```
data_Na2In3SnI6
_chemical_formula_sum 'Na2 In3 Sn1 I6'
_cell_length_a 7.9037
_cell_length_b 7.9037
_cell_length_c 9.1246
_cell_angle_alpha 98.40
_cell_angle_beta 98.40
_cell_angle_gamma 120.70
_space_group_name_H-M_alt 'P 1'
_space_group_IT_number 1
_space_group_name_Hall 'P 1'
loop_
_atom_site_label
_atom_site_type_symbol
_atom_site_fract_x
_atom_site_fract_y
_atom_site_fract_z
Na1 Na 0.1649 0.8351 0.0000
Na2 Na 0.8351 0.1649 0.0000
In1 In 0.0000 0.0000 0.5000
In2 In 0.3289 0.6711 0.5000
In3 In 0.6711 0.3289 0.5000
Sn1 Sn 0.5000 0.5000 0.0000
I1 I 0.0952 0.4267 0.7794
I2 I 0.2449 0.2449 0.2231
I3 I 0.4267 0.0952 0.7794
I4 I 0.5733 0.9048 0.2206
I5 I 0.7551 0.7551 0.7769
I6 I 0.9048 0.5733 0.2206
```

The value obtained for the formation energy from raw total energies is -0.5981 eV per atom. The electronic total energy is -2.6112 eV per atom. As for the space group: C2/m, No. 12. As for the magnetic moment: 0.000 μB/atom.

Record 4
Compound: Na3In3SnI8
Source: the Alexandria database
Functional: PBE
Structure: optimized geometry

```
data_Na3In3SnI8
_chemical_formula_sum 'Na3 In3 Sn1 I8'
_cell_length_a 9.4410
_cell_length_b 9.4410
_cell_length_c 9.7338
_cell_angle_alpha 119.07
_cell_angle_beta 119.07
_cell_angle_gamma 59.93
_space_group_name_H-M_alt 'P 1'
_space_group_IT_number 1
_space_group_name_Hall 'P 1'
loop_
_atom_site_label
_atom_site_type_symbol
_atom_site_fract_x
_atom_site_fract_y
_atom_site_fract_z
Na1 Na 0.0000 0.0000 0.0000
Na2 Na 0.0000 0.5000 0.0000
Na3 Na 0.5000 0.0000 0.0000
In1 In 0.0000 0.5000 0.5000
In2 In 0.5000 0.0000 0.5000
In3 In 0.5000 0.5000 0.5000
Sn1 Sn 0.5000 0.5000 0.0000
I1 I 0.2421 0.2421 0.2255
I2 I 0.2451 0.7386 0.2225
I3 I 0.2613 0.2613 0.7776
I4 I 0.2614 0.7549 0.7775
I5 I 0.7386 0.2451 0.2225
I6 I 0.7387 0.7387 0.2224
I7 I 0.7549 0.2614 0.7775
I8 I 0.7579 0.7579 0.7745
```

The value obtained for the formation energy from raw total energies is -0.7817 eV per atom. The electronic total energy is -2.6868 eV per atom. As for the space group: C2/m, No. 12. As for the magnetic moment: 0.000 μB/atom.

Record 5
Compound: NaInSn2I6
Source: the Alexandria database
Functional: PBE
Structure: optimized geometry

```
data_NaInSn2I6
_chemical_formula_sum 'Na1 In1 Sn2 I6'
_cell_length_a 8.2482
_cell_length_b 8.2569
_cell_length_c 8.7989
_cell_angle_alpha 62.07
_cell_angle_beta 62.06
_cell_angle_gamma 60.06
_space_group_name_H-M_alt 'P 1'
_space_group_IT_number 1
_space_group_name_Hall 'P 1'
loop_
_atom_site_label
_atom_site_type_symbol
_atom_site_fract_x
_atom_site_fract_y
_atom_site_fract_z
Na1 Na 0.0000 0.0000 0.0000
In1 In 0.4955 0.4948 0.5150
Sn1 Sn 0.1922 0.1906 0.4260
Sn2 Sn 0.6894 0.6885 0.9341
I1 I 0.0542 0.4188 0.7009
I2 I 0.2996 0.9269 0.1923
I3 I 0.4189 0.8266 0.7006
I4 I 0.5818 0.2985 0.1926
I5 I 0.8257 0.0538 0.7011
I6 I 0.9280 0.5815 0.1916
```

The value obtained for the formation energy from raw total energies is -0.6238 eV per atom. The electronic total energy is -2.7602 eV per atom. As for the space group: P1, No. 1. As for the magnetic moment: 0.000 μB/atom.

Record 6
Compound: Na2InSn2I7
Source: the Alexandria database
Functional: PBE
Structure: optimized geometry

```
data_Na2InSn2I7
_chemical_formula_sum 'Na2 In1 Sn2 I7'
_cell_length_a 13.6022
_cell_length_b 13.6022
_cell_length_c 13.6022
_cell_angle_alpha 152.82
_cell_angle_beta 39.08
_cell_angle_gamma 152.46
_space_group_name_H-M_alt 'P 1'
_space_group_IT_number 1
_space_group_name_Hall 'P 1'
loop_
_atom_site_label
_atom_site_type_symbol
_atom_site_fract_x
_atom_site_fract_y
_atom_site_fract_z
Na1 Na 0.2485 0.0000 0.2485
Na2 Na 0.7515 0.0000 0.7515
In1 In 0.2420 0.7420 0.5000
Sn1 Sn 0.4012 0.5245 0.8767
Sn2 Sn 0.6478 0.5245 0.1233
I1 I 0.1071 0.9843 0.1228
I2 I 0.2542 0.5009 0.7533
I3 I 0.3728 0.9927 0.3801
I4 I 0.4653 0.4653 0.0000
I5 I 0.6125 0.9927 0.6199
I6 I 0.7476 0.5009 0.2467
I7 I 0.8614 0.9843 0.8772
```

The value obtained for the formation energy from raw total energies is -0.7176 eV per atom. The electronic total energy is -2.7370 eV per atom. As for the space group: Imm2, No. 44. As for the magnetic moment: 0.000 μB/atom.

Record 7
Compound: Na3SrIn3I8
Source: the Alexandria database
Functional: PBE
Structure: optimized geometry

```
data_Na3SrIn3I8
_chemical_formula_sum 'Na3 Sr1 In3 I8'
_cell_length_a 9.4774
_cell_length_b 9.4774
_cell_length_c 9.7777
_cell_angle_alpha 119.01
_cell_angle_beta 119.01
_cell_angle_gamma 59.95
_space_group_name_H-M_alt 'P 1'
_space_group_IT_number 1
_space_group_name_Hall 'P 1'
loop_
_atom_site_label
_atom_site_type_symbol
_atom_site_fract_x
_atom_site_fract_y
_atom_site_fract_z
Na1 Na 0.0000 0.0000 0.0000
Na2 Na 0.0000 0.5000 0.0000
Na3 Na 0.5000 0.0000 0.0000
Sr1 Sr 0.5000 0.5000 0.0000
In1 In 0.0000 0.5000 0.5000
In2 In 0.5000 0.0000 0.5000
In3 In 0.5000 0.5000 0.5000
I1 I 0.2419 0.2419 0.2252
I2 I 0.2422 0.7426 0.2273
I3 I 0.2574 0.2574 0.7725
I4 I 0.2574 0.7578 0.7727
I5 I 0.7426 0.2422 0.2273
I6 I 0.7426 0.7426 0.2275
I7 I 0.7578 0.2574 0.7727
I8 I 0.7581 0.7581 0.7748
```

The value obtained for the formation energy from raw total energies is -1.0206 eV per atom. The electronic total energy is -2.7710 eV per atom. As for the space group: C2/m, No. 12. As for the magnetic moment: 0.000 μB/atom.

Record 8
Compound: NaTbIn2I6
Source: the Alexandria database
Functional: PBE
Structure: optimized geometry

```
data_NaTbIn2I6
_chemical_formula_sum 'Na1 Tb1 In2 I6'
_cell_length_a 8.6891
_cell_length_b 8.6891
_cell_length_c 8.6891
_cell_angle_alpha 58.17
_cell_angle_beta 58.17
_cell_angle_gamma 58.17
_space_group_name_H-M_alt 'P 1'
_space_group_IT_number 1
_space_group_name_Hall 'P 1'
loop_
_atom_site_label
_atom_site_type_symbol
_atom_site_fract_x
_atom_site_fract_y
_atom_site_fract_z
Na1 Na 0.0000 0.0000 0.0000
Tb1 Tb 0.4942 0.4942 0.4942
In1 In 0.2931 0.2931 0.2931
In2 In 0.7993 0.7993 0.7993
I1 I 0.1415 0.7148 0.3662
I2 I 0.2447 0.6330 0.8373
I3 I 0.3662 0.1415 0.7148
I4 I 0.6330 0.8373 0.2447
I5 I 0.7148 0.3662 0.1415
I6 I 0.8373 0.2447 0.6330
```

The value obtained for the formation energy from raw total energies is -0.9849 eV per atom. The electronic total energy is -3.0576 eV per atom. As for the space group: R3, No. 146. As for the magnetic moment: 0.000 μB/atom.